Density functional theory data (GGA-PBEsol) for TlIn3Co after structural relaxation.

* total magnetic moment: 0.00 μB/atom
* space-group type: Pm-3m
* formation enthalpy at 0 K: 0.02 eV per atom

POSCAR file:
```
TlIn3Co
1.0
-2.489 4.211 0.458
-3.260 -2.244 2.911
2.704 1.171 3.931
Tl Co In
1 1 3
Cartesian
-1.522 1.569 3.650 Tl
0.000 0.000 0.000 Co
-1.630 -1.122 1.455 In
1.352 0.585 1.965 In
-1.245 2.105 0.229 In
```